(1)
Here is crystalline CdIn2As2 at its relaxed geometry from Alexandria. Energies are from GGA-PBE.

a b c (Å): 4.925 4.925 6.495
angles (deg): 67.72 67.72 90.00
Atoms (fractional coordinates):
As (0.750, 0.250, 0.500)
As (0.250, 0.750, 0.500)
Cd (0.000, 0.000, 0.000)
In (0.373, 0.373, 0.255)
In (0.627, 0.627, 0.745)

D(E_F): 2.88 states/eV/f.u.
DFT formation energy: 0.17 eV/atom
volume: 26.60 Å³/atom
SG: I4/mmm (139)
total magnetic moment: 0.0 μB/f.u.

(2)
Here is crystalline CoIr2Rh at its relaxed geometry from Alexandria. Energies are from GGA-PBE.

a b c (Å): 8.736 8.736 8.736
angles (deg): 17.90 17.90 17.90
Atoms (fractional coordinates):
Co (0.750, 0.750, 0.750)
Ir (0.003, 0.003, 0.003)
Ir (0.250, 0.250, 0.250)
Rh (0.497, 0.497, 0.497)

D(E_F): 5.47 states/eV/f.u.
DFT formation energy: 0.06 eV/atom
polymorph energy (0 for the lowest one): 4.9 kJ per mole of atoms
volume: 13.74 Å³/atom
SG: R3m (160)
total magnetic moment: 1.9 μB/f.u.

(3)
Here is crystalline Sr2FeI2 at its relaxed geometry from Alexandria. Energies are from GGA-PBE.

a b c (Å): 8.575 8.575 5.032
angles (deg): 90.00 90.00 90.00
Atoms (fractional coordinates):
I (0.152, 0.652, 0.500)
I (0.652, 0.848, 0.500)
I (0.848, 0.348, 0.500)
I (0.348, 0.152, 0.500)
Sr (0.331, 0.831, 0.000)
Sr (0.831, 0.669, 0.000)
Sr (0.669, 0.169, 0.000)
Sr (0.169, 0.331, 0.000)
Fe (0.000, 0.000, 0.000)
Fe (0.500, 0.500, 0.000)

D(E_F): 12.65 states/eV/f.u.
polymorph energy (0 for the lowest one): 0.0 kJ per mole of atoms
formation energy from raw total energies: -1.29 eV per formula unit
volume: 37.00 Å³/atom
SG: P4/mbm (127)
total magnetic moment: 2.3 μB/f.u.

(4)
Here is crystalline SrOsPt2 at its relaxed geometry from Alexandria. Energies are from GGA-PBE.

a b c (Å): 3.822 2.828 7.627
angles (deg): 68.22 90.00 90.00
Atoms (fractional coordinates):
Os (0.500, 0.750, 0.750)
Pt (0.000, 0.058, 0.942)
Pt (0.000, 0.442, 0.558)
Sr (0.500, 0.250, 0.250)

D(E_F): 4.06 states/eV/f.u.
DFT formation energy: 0.03 eV/atom
polymorph energy (0 for the lowest one): 0.0 kJ per mole of atoms
volume: 19.14 Å³/atom
SG: Pmmm (47)
total magnetic moment: 0.0 μB/f.u.

(5)
Here is crystalline AgSbPO2 at its relaxed geometry from Alexandria. Energies are from GGA-PBE.

a b c (Å): 4.086 4.086 4.850
angles (deg): 90.00 90.00 90.00
Atoms (fractional coordinates):
Sb (0.500, 0.500, 0.500)
O (0.000, 0.500, 0.000)
O (0.500, 0.000, 0.000)
Ag (0.000, 0.000, 0.000)
P (0.000, 0.000, 0.500)

D(E_F): 1.49 states/eV/f.u.
polymorph energy (0 for the lowest one): 67.9 kJ per mole of atoms
formation energy from raw total energies: 2.11 eV per formula unit
volume: 16.19 Å³/atom
SG: P4/mmm (123)
total magnetic moment: 0.0 μB/f.u.

(6)
Here is crystalline PaCdPt6 at its relaxed geometry from Alexandria. Energies are from GGA-PBE.

a b c (Å): 4.144 4.144 8.092
angles (deg): 90.00 90.00 90.00
Atoms (fractional coordinates):
Pa (0.000, 0.000, 0.500)
Cd (0.000, 0.000, 0.000)
Pt (0.500, 0.500, 0.000)
Pt (0.500, 0.500, 0.500)
Pt (0.500, 0.000, 0.251)
Pt (0.500, 0.000, 0.749)
Pt (0.000, 0.500, 0.251)
Pt (0.000, 0.500, 0.749)

D(E_F): 3.92 states/eV/f.u.
DFT formation energy: -0.71 eV/atom
polymorph energy (0 for the lowest one): 0.0 kJ per mole of atoms
volume: 17.37 Å³/atom
SG: P4/mmm (123)
total magnetic moment: 0.0 μB/f.u.

(7)
Here is crystalline ErMgPa2Ru4 at its relaxed geometry from Alexandria. Energies are from GGA-PBE.

a b c (Å): 4.534 4.534 8.995
angles (deg): 75.40 75.40 60.00
Atoms (fractional coordinates):
Er (0.000, 0.000, 0.000)
Mg (0.500, 0.500, 0.500)
Pa (0.755, 0.755, 0.734)
Pa (0.245, 0.245, 0.266)
Ru (0.394, 0.394, 0.819)
Ru (0.879, 0.879, 0.362)
Ru (0.121, 0.121, 0.638)
Ru (0.606, 0.606, 0.181)

D(E_F): 6.31 states/eV/f.u.
DFT formation energy: -0.45 eV/atom
volume: 19.15 Å³/atom
SG: R-3m (166)
total magnetic moment: 0.0 μB/f.u.

(8)
Here is crystalline Y2ScFeBi at its relaxed geometry from Alexandria. Energies are from GGA-PBE.

a b c (Å): 5.222 4.777 5.222
angles (deg): 90.00 90.00 90.00
Atoms (fractional coordinates):
Y (0.000, 0.000, 0.500)
Y (0.500, 0.000, 0.000)
Sc (0.000, 0.500, 0.000)
Bi (0.500, 0.500, 0.500)
Fe (0.000, 0.000, 0.000)

D(E_F): 6.31 states/eV/f.u.
DFT formation energy: -0.19 eV/atom
volume: 26.06 Å³/atom
SG: P4/mmm (123)
total magnetic moment: 0.0 μB/f.u.

(9)
Here is crystalline PmMg5Ag6 at its relaxed geometry from Alexandria. Energies are from GGA-PBE.

a b c (Å): 4.828 6.925 7.597
angles (deg): 90.00 108.64 90.00
Atoms (fractional coordinates):
Mg (0.659, 0.500, 0.322)
Mg (0.329, 0.000, 0.658)
Mg (0.000, 0.500, 0.000)
Mg (0.671, 0.000, 0.342)
Mg (0.341, 0.500, 0.678)
Ag (0.827, 0.733, 0.651)
Ag (0.827, 0.267, 0.651)
Ag (0.500, 0.271, 0.000)
Ag (0.500, 0.729, 0.000)
Ag (0.173, 0.733, 0.349)
Ag (0.173, 0.267, 0.349)
Pm (0.000, 0.000, 0.000)

D(E_F): 4.23 states/eV/f.u.
DFT formation energy: -0.22 eV/atom
volume: 20.06 Å³/atom
SG: P2/m (10)
total magnetic moment: 0.0 μB/f.u.

(10)
Here is crystalline IrAu at its relaxed geometry from Alexandria. Energies are from GGA-PBE.

a b c (Å): 4.527 4.527 4.527
angles (deg): 60.00 60.00 60.00
Atoms (fractional coordinates):
Au (0.000, 0.000, 0.000)
Au (0.750, 0.750, 0.750)
Ir (0.250, 0.250, 0.250)
Ir (0.500, 0.500, 0.500)

D(E_F): 2.56 states/eV/f.u.
DFT formation energy: 0.58 eV/atom
polymorph energy (0 for the lowest one): 37.8 kJ per mole of atoms
volume: 16.40 Å³/atom
SG: Fd-3m (227)
total magnetic moment: 0.0 μB/f.u.

What did the fourth record say?
Here is crystalline SrOsPt2 at its relaxed geometry from Alexandria. Energies are from GGA-PBE.

a b c (Å): 3.822 2.828 7.627
angles (deg): 68.22 90.00 90.00
Atoms (fractional coordinates):
Os (0.500, 0.750, 0.750)
Pt (0.000, 0.058, 0.942)
Pt (0.000, 0.442, 0.558)
Sr (0.500, 0.250, 0.250)

D(E_F): 4.06 states/eV/f.u.
DFT formation energy: 0.03 eV/atom
polymorph energy (0 for the lowest one): 0.0 kJ per mole of atoms
volume: 19.14 Å³/atom
SG: Pmmm (47)
total magnetic moment: 0.0 μB/f.u.